(1)
# GGA-PBE Sr2Cd4Ni, relaxed
# Calculated formation energy: -0.12 eV per atom
# Calculated density: 5.318 g/cm3
# Total DFT energy (no corrections): -1.949 eV/atom
data_Sr2Cd4Ni
_chemical_formula_sum 'Sr4 Cd8 Ni2'
_cell_length_a 5.024
_cell_length_b 5.024
_cell_length_c 16.910
_cell_angle_alpha 90.00
_cell_angle_beta 90.00
_cell_angle_gamma 90.00
_symmetry_space_group_name_H-M 'I 4/m m m'
_symmetry_Int_Tables_number 139
_symmetry_space_group_name_Hall '-I 4 2'
loop_
_atom_site_label
_atom_site_fract_x
_atom_site_fract_y
_atom_site_fract_z
_atom_site_occupancy
Sr1 0.000 0.000 0.149 1
Cd1 0.000 0.000 0.350 1
Cd2 0.000 0.500 0.000 1
Ni1 0.000 0.000 0.500 1

=====

(2)
# GGA-PBE FeOs, relaxed
# Calculated formation energy: 0.37 eV per atom
# Calculated density: 15.198 g/cm3
# Total DFT energy (no corrections): -9.480 eV/atom
data_FeOs
_chemical_formula_sum 'Fe8 Os8'
_cell_length_a 7.155
_cell_length_b 7.155
_cell_length_c 4.201
_cell_angle_alpha 90.00
_cell_angle_beta 90.00
_cell_angle_gamma 90.00
_symmetry_space_group_name_H-M 'P 4/m n c'
_symmetry_Int_Tables_number 128
_symmetry_space_group_name_Hall '-P 4 2n'
loop_
_atom_site_label
_atom_site_fract_x
_atom_site_fract_y
_atom_site_fract_z
_atom_site_occupancy
Fe1 0.085 0.253 0.000 1
Os1 0.080 0.750 0.500 1

=====

(3)
# GGA-PBE NaTa2Rh, relaxed
# Calculated formation energy: 0.60 eV per atom
# Excess energy over the best structure of this formula in the dataset: 0 meV/atom
# Calculated density: 11.850 g/cm3
# Total DFT energy (no corrections): -7.490 eV/atom
data_NaTa2Rh
_chemical_formula_sum 'Na4 Ta8 Rh4'
_cell_length_a 6.490
_cell_length_b 6.490
_cell_length_c 6.490
_cell_angle_alpha 90.00
_cell_angle_beta 90.00
_cell_angle_gamma 90.00
_symmetry_space_group_name_H-M 'F m -3 m'
_symmetry_Int_Tables_number 225
_symmetry_space_group_name_Hall '-F 4 2 3'
loop_
_atom_site_label
_atom_site_fract_x
_atom_site_fract_y
_atom_site_fract_z
_atom_site_occupancy
Na1 0.000 0.000 0.000 1
Ta1 0.250 0.250 0.250 1
Rh1 0.000 0.000 0.500 1

=====

Question: Number 2 is which compound?
Answer: FeOs

=====

Question: Which value of calculated density does entry 3 give?
Answer: 11.850 g/cm3